Record 1
# US2Br2F2, optimized geometry, DFT GGA-PBE
# * Fermi-level density of states: 10.01 states/eV per cell
# * mass density: 4.40 g/cm3
# * uncorrected energy: -74.84 eV per cell
# * E_form (uncorrected): -1.541 eV/atom
data_US2Br2F2
_symmetry_space_group_name_H-M 'C 1 2/m 1'
_symmetry_Int_Tables_number 12
_cell_length_a 12.3022
_cell_length_b 4.9361
_cell_length_c 6.7771
_cell_angle_alpha 90.00
_cell_angle_beta 113.53
_cell_angle_gamma 90.00
loop_
_symmetry_equiv_pos_as_xyz
'x,y,z'
'-x,-y,-z'
'-x,y,-z'
'x,-y,z'
'x+1/2,y+1/2,z'
'-x+1/2,-y+1/2,-z'
'-x+1/2,y+1/2,-z'
'x+1/2,-y+1/2,z'
loop_
_atom_site_label
_atom_site_fract_x
_atom_site_fract_y
_atom_site_fract_z
U1 0.0000 0.0000 0.0000
S1 0.0677 0.0000 0.6388
Br1 0.0862 0.5000 0.2590
F1 0.1783 0.0000 0.0919


Record 2
# ZnSBrF2, optimized geometry, DFT GGA-PBE
# * Fermi-level density of states: 2.53 states/eV per cell
# * mass density: 3.63 g/cm3
# * uncorrected energy: -11.43 eV per cell
# * E_form (uncorrected): -0.123 eV/atom
data_ZnSBrF2
_symmetry_space_group_name_H-M 'P 4/m m m'
_symmetry_Int_Tables_number 123
_symmetry_space_group_name_Hall '-P 4 2'
_cell_length_a 4.0882
_cell_length_b 4.0882
_cell_length_c 5.9018
_cell_angle_alpha 90.00
_cell_angle_beta 90.00
_cell_angle_gamma 90.00
loop_
_atom_site_label
_atom_site_fract_x
_atom_site_fract_y
_atom_site_fract_z
Zn1 0.0000 0.0000 0.0000
S1 0.5000 0.5000 0.0000
Br1 0.0000 0.0000 0.5000
F1 0.0000 0.5000 0.5000